No. 1
Compound: Er3AgBi
Source: Alexandria via LeMat-Bulk
Functional: GGA-PBE
Structure: optimized geometry

Values from the calculation:
Space-group type ... Pmma, No. 51
Energy relative to the elements ... -1.40 eV/f.u.
Total DFT energy (no corrections) ... -4.36 eV per atom
ρ ... 9.19 g cm⁻³

a = 6.376 Å, b = 5.424 Å, c = 8.554 Å
α = 90.00°, β = 90.00°, γ = 90.00°
Element x y z (fractional)
Er1 0.000 0.000 0.000
Er2 0.250 0.000 0.362
Er3 0.250 0.500 0.749
Er4 0.500 0.000 0.000
Er5 0.750 0.000 0.638
Er6 0.750 0.500 0.251
Ag1 0.250 0.000 0.695
Ag2 0.750 0.000 0.305
Bi1 0.250 0.500 0.146
Bi2 0.750 0.500 0.854

No. 2
Compound: Gd3AuO6
Source: Alexandria via LeMat-Bulk
Functional: GGA-PBE
Structure: optimized geometry

Values from the calculation:
Space-group type ... P-1, No. 2
Formation energy without anion corrections ... -61.5 kcal/mol of atoms
Total DFT energy (no corrections) ... -10.19 eV per atom
ρ ... 8.76 g cm⁻³

a = 3.685 Å, b = 5.632 Å, c = 7.157 Å
α = 90.30°, β = 102.54°, γ = 91.14°
Element x y z (fractional)
Gd1 0.000 0.000 0.000
Gd2 0.390 0.471 0.735
Gd3 0.610 0.529 0.265
Au1 0.000 0.000 0.500
O1 0.124 0.796 0.288
O2 0.159 0.311 0.389
O3 0.480 0.744 0.975
O4 0.520 0.256 0.025
O5 0.841 0.689 0.611
O6 0.876 0.204 0.712

No. 3
Compound: GaH2AuN
Source: Alexandria via LeMat-Bulk
Functional: GGA-PBE
Structure: optimized geometry

Values from the calculation:
Space-group type ... P4/mmm, No. 123
Total DFT energy (no corrections) ... -3.54 eV per atom
ρ ... 9.13 g cm⁻³

a = 3.333 Å, b = 3.333 Å, c = 4.625 Å
α = 90.00°, β = 90.00°, γ = 90.00°
Element x y z (fractional)
Ga1 0.000 0.000 0.000
H1 0.000 0.500 0.000
H2 0.500 0.000 0.000
Au1 0.500 0.500 0.500
N1 0.000 0.000 0.500

No. 4
Compound: Al2OsSe
Source: Alexandria via LeMat-Bulk
Functional: GGA-PBE
Structure: optimized geometry

Values from the calculation:
Space-group type ... P4mm, No. 99
Formation energy without anion corrections ... 2.8 kcal/mol of atoms
Total DFT energy (no corrections) ... -5.43 eV per atom
ρ ... 8.09 g cm⁻³

a = 2.976 Å, b = 2.976 Å, c = 7.483 Å
α = 90.00°, β = 90.00°, γ = 90.00°
Element x y z (fractional)
Al1 0.000 0.000 0.000
Al2 0.500 0.500 0.255
Os1 0.000 0.000 0.469
Se1 0.500 0.500 0.682

In the order shown, the computed density of states at the Fermi level values come out to 10.0; 0.0; 1.1; 1.9 states/eV per cell.